1.
# La5CeY12 | the Alexandria database | PBE | optimized geometry
data_La5CeY12
_cell_length_a 11.753
_cell_length_b 10.553
_cell_length_c 5.966
_cell_angle_alpha 89.33
_cell_angle_beta 89.85
_cell_angle_gamma 56.16
_symmetry_space_group_name_H-M 'P 1'
_symmetry_Int_Tables_number 1
_symmetry_space_group_name_Hall 'P 1'
loop_
_atom_site_label
_atom_site_type_symbol
_atom_site_fract_x
_atom_site_fract_y
_atom_site_fract_z
Y1 Y 0.007 0.333 0.957
Y2 Y 0.682 0.000 0.949
Y3 Y 0.156 0.333 0.457
Y4 Y 0.993 0.667 0.043
Y5 Y 0.172 0.000 0.553
Y6 Y 0.828 0.000 0.447
Y7 Y 0.488 0.669 0.458
Y8 Y 0.660 0.332 0.042
Y9 Y 0.844 0.667 0.543
Y10 Y 0.318 0.000 0.051
Y11 Y 0.340 0.668 0.958
Y12 Y 0.512 0.331 0.542
La1 La 0.337 0.327 0.999
La2 La 0.500 0.000 0.500
La3 La 0.168 0.665 0.500
La4 La 0.832 0.335 0.500
La5 La 0.663 0.673 0.001
Ce1 Ce 0.000 0.000 0.000
# calculated density = 5.14 g/cm3
# total magnetic moment = 0.06 μB per atom
# calculated formation energy = 0.10 eV per atom
# symmetry = P-1, No. 2
# Fermi-level density of states = 37.090 states/eV/f.u.



2.
# UPa3N4 | the Alexandria database | PBE | optimized geometry
data_UPa3N4
_cell_length_a 6.037
_cell_length_b 6.045
_cell_length_c 6.999
_cell_angle_alpha 90.00
_cell_angle_beta 90.00
_cell_angle_gamma 109.60
_symmetry_space_group_name_H-M 'P 1'
_symmetry_Int_Tables_number 1
_symmetry_space_group_name_Hall 'P 1'
loop_
_atom_site_label
_atom_site_type_symbol
_atom_site_fract_x
_atom_site_fract_y
_atom_site_fract_z
N1 N 0.499 0.248 0.374
N2 N 0.000 0.752 0.876
N3 N 0.001 0.752 0.374
N4 N 0.999 0.248 0.626
N5 N 0.501 0.752 0.626
N6 N 0.500 0.752 0.124
N7 N 0.000 0.248 0.124
N8 N 0.500 0.248 0.876
Pa1 Pa 0.250 0.500 0.374
Pa2 Pa 0.750 0.000 0.374
Pa3 Pa 0.250 0.500 0.876
Pa4 Pa 0.750 0.500 0.124
Pa5 Pa 0.250 0.000 0.626
Pa6 Pa 0.750 0.500 0.626
U1 U 0.250 0.000 0.123
U2 U 0.750 0.000 0.877
# calculated density = 13.63 g/cm3
# total magnetic moment = 0.16 μB per atom
# raw formation energy = -1.546 eV per atom
# symmetry = P2/c, No. 13
# Fermi-level density of states = 9.461 states/eV/f.u.



3.
# PuNi2Pt2 | the Alexandria database | PBE | optimized geometry
data_PuNi2Pt2
_cell_length_a 3.861
_cell_length_b 3.861
_cell_length_c 11.683
_cell_angle_alpha 99.51
_cell_angle_beta 99.51
_cell_angle_gamma 90.00
_symmetry_space_group_name_H-M 'P 1'
_symmetry_Int_Tables_number 1
_symmetry_space_group_name_Hall 'P 1'
loop_
_atom_site_label
_atom_site_type_symbol
_atom_site_fract_x
_atom_site_fract_y
_atom_site_fract_z
Ni1 Ni 0.750 0.250 0.500
Ni2 Ni 0.250 0.750 0.500
Ni3 Ni 0.073 0.073 0.146
Ni4 Ni 0.927 0.927 0.854
Pu1 Pu 0.381 0.381 0.761
Pu2 Pu 0.619 0.619 0.239
Pt1 Pt 0.178 0.178 0.355
Pt2 Pt 0.000 0.500 0.000
Pt3 Pt 0.500 0.000 0.000
Pt4 Pt 0.822 0.822 0.645
# calculated density = 14.74 g/cm3
# total magnetic moment = 0.76 μB per atom
# calculated formation energy = -0.34 eV per atom
# symmetry = I4/mmm, No. 139
# Fermi-level density of states = 13.571 states/eV/f.u.



4.
# Ir5Ru4Rh2 | the Alexandria database | PBE | optimized geometry
data_Ir5Ru4Rh2
_cell_length_a 2.681
_cell_length_b 7.267
_cell_length_c 10.009
_cell_angle_alpha 111.29
_cell_angle_beta 97.70
_cell_angle_gamma 90.00
_symmetry_space_group_name_H-M 'P 1'
_symmetry_Int_Tables_number 1
_symmetry_space_group_name_Hall 'P 1'
loop_
_atom_site_label
_atom_site_type_symbol
_atom_site_fract_x
_atom_site_fract_y
_atom_site_fract_z
Ir1 Ir 0.500 0.000 0.000
Ir2 Ir 0.844 0.164 0.688
Ir3 Ir 0.844 0.524 0.688
Ir4 Ir 0.156 0.476 0.312
Ir5 Ir 0.156 0.836 0.312
Ru1 Ru 0.248 0.248 0.496
Ru2 Ru 0.000 0.661 0.000
Ru3 Ru 0.000 0.339 0.000
Ru4 Ru 0.752 0.752 0.504
Rh1 Rh 0.886 0.886 0.773
Rh2 Rh 0.114 0.114 0.227
# calculated density = 14.51 g/cm3
# total magnetic moment = 0.00 μB per atom
# calculated formation energy = 0.72 eV per atom
# symmetry = Immm, No. 71
# Fermi-level density of states = 15.723 states/eV/f.u.
# E above lowest polymorph = 63.0 kJ/mol of formula units